No. 1
! TlCoSi2 | Alexandria | GGA-PBE | optimized geometry; values from VASP
! - Raw formation energy: 0.548 eV per formula unit
! - Excess energy over the best structure of this formula in the dataset: 50 kJ/mol of formula units
&SYSTEM
  ibrav = 0, nat = 4, ntyp = 3
/
ATOMIC_SPECIES
Si 28.09 Si.upf
Co 58.93 Co.upf
Tl 204.38 Tl.upf
ATOMIC_POSITIONS angstrom
Si 0.000 0.000 4.641
Si 0.000 0.000 7.273
Co 1.451 1.479 5.957
Tl 1.451 1.479 1.986
CELL_PARAMETERS angstrom
2.929 0.028 0.000
-0.028 2.929 0.000
0.000 0.000 7.943



No. 2
! TlCoSi2 | Alexandria | GGA-PBE | optimized geometry; values from VASP
! - Raw formation energy: 2.633 eV per formula unit
! - Excess energy over the best structure of this formula in the dataset: 251 kJ/mol of formula units
&SYSTEM
  ibrav = 0, nat = 4, ntyp = 3
/
ATOMIC_SPECIES
Co 58.93 Co.upf
Tl 204.38 Tl.upf
Si 28.09 Si.upf
ATOMIC_POSITIONS angstrom
Co 0.232 -0.645 2.689
Tl 1.840 1.409 3.013
Si -1.745 1.023 1.685
Si 0.000 0.000 0.000
CELL_PARAMETERS angstrom
-3.353 -1.031 1.361
3.817 -0.259 4.016
-0.137 3.077 2.009



No. 3
! Tl2Co2Si | Alexandria | GGA-PBE | optimized geometry; values from VASP
! - Raw formation energy: 3.880 eV per formula unit
! - Excess energy over the best structure of this formula in the dataset: 74 kJ/mol of formula units
&SYSTEM
  ibrav = 0, nat = 10, ntyp = 3
/
ATOMIC_SPECIES
Si 28.09 Si.upf
Co 58.93 Co.upf
Tl 204.38 Tl.upf
ATOMIC_POSITIONS angstrom
Si 0.000 0.000 0.000
Si 3.989 3.989 0.000
Co 3.174 0.815 1.459
Co 7.163 3.174 1.459
Co 4.804 7.163 1.459
Co 0.815 4.804 1.459
Tl 1.497 2.493 0.000
Tl 5.486 1.497 0.000
Tl 2.493 6.482 0.000
Tl 6.482 5.486 0.000
CELL_PARAMETERS angstrom
7.978 0.000 0.000
0.000 7.978 0.000
0.000 0.000 2.918